Entry 1:
VASP calculation (PBE) on a relaxed structure of Sr2MgHPd.

Results
Theoretical density (g cm⁻³): 4.4
Calculated volume (A^3/atom): 23.22
Total moment (μB/cell): 0.000
Relative energy among the computed polymorphs (eV per formula unit): 0.000

Geometry as POSCAR:
```
Sr2MgHPd
1.0
5.184 0.000 0.000
0.000 5.184 0.000
0.000 0.000 4.320
Sr Mg H Pd
2 1 1 1
Cartesian
0.000 2.592 0.000 Sr
2.592 0.000 0.000 Sr
0.000 0.000 2.160 Mg
0.000 0.000 0.000 H
2.592 2.592 2.160 Pd
```


Entry 2:
VASP calculation (PBE) on a relaxed structure of TbMgH6Pd2.

Results
Theoretical density (g cm⁻³): 7.0
Calculated volume (A^3/atom): 9.54
Total DFT energy (no corrections) (eV/cell): -39.99
Total moment (μB/cell): 0.000

Geometry as POSCAR:
```
TbMgH6Pd2
1.0
2.270 1.311 5.346
-2.270 1.311 5.346
0.000 -2.621 5.346
Tb Mg H Pd
1 1 6 2
Cartesian
0.000 0.000 0.000 Tb
0.000 0.000 8.019 Mg
-1.089 -0.629 6.302 H
0.000 -1.258 9.736 H
-1.089 0.629 9.736 H
1.089 -0.629 6.302 H
0.000 1.258 6.302 H
1.089 0.629 9.736 H
0.000 0.000 3.396 Pd
0.000 0.000 12.642 Pd
```


Entry 3:
VASP calculation (PBE) on a relaxed structure of Mg2TcHPd.

Results
Theoretical density (g cm⁻³): 6.3
Calculated volume (A^3/atom): 13.44
Total DFT energy (no corrections) (eV/cell): -22.81
Total moment (μB/cell): 0.458

Geometry as POSCAR:
```
Mg2TcHPd
1.0
4.359 0.000 0.000
0.000 4.359 0.000
0.000 0.000 3.537
Mg Tc H Pd
2 1 1 1
Cartesian
0.000 2.180 0.000 Mg
2.180 0.000 0.000 Mg
0.000 0.000 1.768 Tc
0.000 0.000 0.000 H
2.180 2.180 1.768 Pd
```


Entry 4:
VASP calculation (PBE) on a relaxed structure of MgTeHPd2.

Results
Theoretical density (g cm⁻³): 8.0
Calculated volume (A^3/atom): 15.13
Total DFT energy (no corrections) (eV/cell): -20.09
Total moment (μB/cell): 0.000

Geometry as POSCAR:
```
MgTeHPd2
1.0
4.158 0.000 0.000
0.000 4.158 0.000
0.000 0.000 4.374
Mg Te H Pd
1 1 1 2
Cartesian
0.000 0.000 0.000 Mg
2.079 2.079 0.000 Te
0.000 0.000 2.187 H
0.000 2.079 2.187 Pd
2.079 0.000 2.187 Pd
```


Entry 5:
VASP calculation (PBE) on a relaxed structure of MgTe2H2Pd7.

Results
Theoretical density (g cm⁻³): 9.5
Calculated volume (A^3/atom): 15.02
Total DFT energy (no corrections) (eV/cell): -54.88
Total moment (μB/cell): 0.000

Geometry as POSCAR:
```
MgTe2H2Pd7
1.0
2.848 -2.852 0.000
2.848 2.852 0.000
-2.738 0.000 11.095
Mg Te H Pd
1 2 2 7
Cartesian
0.000 0.000 0.000 Mg
0.000 0.000 4.197 Te
2.959 0.000 6.898 Te
0.099 0.000 9.239 H
2.860 0.000 1.856 H
1.422 1.425 2.042 Pd
0.118 0.000 6.926 Pd
1.537 1.425 9.053 Pd
2.848 0.000 0.000 Pd
1.422 -1.425 2.042 Pd
2.841 0.000 4.170 Pd
1.537 -1.425 9.053 Pd
```


Entry 6:
VASP calculation (PBE) on a relaxed structure of Mg2TeHPd6.

Results
Theoretical density (g cm⁻³): 7.2
Calculated volume (A^3/atom): 18.80
Total DFT energy (no corrections) (eV/cell): -41.58
Total moment (μB/cell): 0.000

Geometry as POSCAR:
```
Mg2TeHPd6
1.0
4.776 0.000 0.000
0.000 4.776 0.000
0.000 0.000 8.240
Mg Te H Pd
2 1 1 6
Cartesian
0.000 0.000 1.740 Mg
0.000 0.000 6.500 Mg
2.388 2.388 4.120 Te
2.388 2.388 0.000 H
0.000 2.388 0.000 Pd
0.000 2.388 4.120 Pd
2.388 0.000 0.000 Pd
2.388 0.000 4.120 Pd
2.388 2.388 1.626 Pd
2.388 2.388 6.614 Pd
```